(1)
The following is a DFT calculation (meta-GGA SCAN) of a crystal of MgCdSn2 relaxed with PBEsol.

a b c (Å): 5.137 5.137 5.137
angles (deg): 60.00 60.00 60.00
Atoms (fractional coordinates):
Cd: 0.500 0.500 0.500
Sn: 0.250 0.250 0.250
Mg: 0.000 0.000 0.000
Sn: 0.750 0.750 0.750

Results
For the total moment, the calculation gives 0.0 μB per cell. Its formation energy is 0.056 eV/atom. The total energy is -26.75 eV/atom.

---

(2)
The following is a DFT calculation (meta-GGA SCAN) of a crystal of Mg2Cd2Sn relaxed with PBEsol.

a b c (Å): 3.329 8.174 8.174
angles (deg): 90.00 90.00 90.00
Atoms (fractional coordinates):
Mg: 0.500 0.174 0.674
Sn: 0.000 0.000 0.000
Sn: 0.000 0.500 0.500
Mg: 0.500 0.674 0.826
Mg: 0.500 0.326 0.174
Cd: 0.000 0.875 0.625
Mg: 0.500 0.826 0.326
Cd: 0.000 0.125 0.375
Cd: 0.000 0.625 0.125
Cd: 0.000 0.375 0.875

Results
For the total moment, the calculation gives 0.0 μB per cell. Its formation energy is -0.074 eV/atom. The total energy is -21.41 eV/atom.

---

(3)
The following is a DFT calculation (meta-GGA SCAN) of a crystal of Mg6CdSn relaxed with PBEsol.

a b c (Å): 5.250 6.203 6.251
angles (deg): 119.75 90.00 90.00
Atoms (fractional coordinates):
Cd: 0.500 0.653 0.306
Mg: 0.500 0.161 0.824
Mg: 0.000 0.838 0.180
Mg: 0.000 0.342 0.180
Mg: 0.500 0.663 0.824
Sn: 0.000 0.842 0.683
Mg: 0.500 0.166 0.331
Mg: 0.000 0.335 0.671

Results
For the total moment, the calculation gives 0.0 μB per cell. Its formation energy is -0.095 eV/atom. The total energy is -12.12 eV/atom.

---

(4)
The following is a DFT calculation (meta-GGA SCAN) of a crystal of Mg2Cd2Sn relaxed with PBEsol.

a b c (Å): 4.224 4.224 7.269
angles (deg): 106.89 106.89 90.00
Atoms (fractional coordinates):
Mg: 0.750 0.250 0.500
Cd: 0.398 0.398 0.796
Cd: 0.602 0.602 0.204
Sn: 0.000 0.000 0.000
Mg: 0.250 0.750 0.500

Results
For the total moment, the calculation gives 0.0 μB per cell. Its formation energy is 0.075 eV/atom. The total energy is -21.26 eV/atom.

---

(5)
The following is a DFT calculation (meta-GGA SCAN) of a crystal of SrMgCd relaxed with PBEsol.

a b c (Å): 3.982 5.096 5.096
angles (deg): 120.00 90.00 90.00
Atoms (fractional coordinates):
Cd: 0.000 0.000 0.000
Sr: 0.500 0.333 0.667
Mg: 0.000 0.667 0.333

Results
For the total moment, the calculation gives 0.0 μB per cell. Its formation energy is -0.249 eV/atom. The total energy is -19.47 eV/atom.

---

(6)
The following is a DFT calculation (meta-GGA SCAN) of a crystal of Sr2MgCd2 relaxed with PBEsol.

a b c (Å): 4.581 8.327 8.327
angles (deg): 90.00 90.00 90.00
Atoms (fractional coordinates):
Cd: 0.000 0.874 0.626
Sr: 0.500 0.827 0.327
Cd: 0.000 0.126 0.374
Sr: 0.500 0.327 0.173
Mg: 0.000 0.500 0.500
Cd: 0.000 0.374 0.874
Sr: 0.500 0.673 0.827
Mg: 0.000 0.000 0.000
Cd: 0.000 0.626 0.126
Sr: 0.500 0.173 0.673

Results
For the total moment, the calculation gives 0.0 μB per cell. Its formation energy is -0.283 eV/atom. The total energy is -22.35 eV/atom.

---

(7)
The following is a DFT calculation (meta-GGA SCAN) of a crystal of SrMgCd2 relaxed with PBEsol.

a b c (Å): 3.651 3.651 7.718
angles (deg): 90.00 90.00 90.00
Atoms (fractional coordinates):
Cd: 0.000 0.000 0.207
Cd: 0.000 0.000 0.793
Sr: 0.500 0.500 0.500
Mg: 0.500 0.500 0.000

Results
For the total moment, the calculation gives 0.0 μB per cell. Its formation energy is -0.273 eV/atom. The total energy is -22.29 eV/atom.

---

(8)
The following is a DFT calculation (meta-GGA SCAN) of a crystal of Sr2MgCd relaxed with PBEsol.

a b c (Å): 3.938 5.797 6.786
angles (deg): 114.42 106.87 90.00
Atoms (fractional coordinates):
Cd: 0.524 0.518 0.048
Sr: 0.782 0.286 0.564
Mg: 0.209 0.714 0.419
Sr: 0.984 0.981 0.969

Results
For the total moment, the calculation gives 0.0 μB per cell. Its formation energy is -0.195 eV/atom. The energy above the most stable polymorph in this dataset comes out at 21 meV/atom. The total energy is -20.18 eV/atom.